1.
As2Pt2Pb, relaxed, DFT PBE-GGA; energy above the most stable polymorph in this dataset = 128 meV per atom; calculated formation energy = -3.9 kJ per mole of atoms
1.0
-0.613 0.955 7.857
7.788 -1.332 0.770
0.550 3.028 -0.325
As Pb Pt
4 2 4
Cartesian
6.551 0.987 5.552
1.173 1.663 2.750
2.527 1.857 6.842
5.198 0.793 1.460
0.000 0.000 0.000
3.587 -0.189 4.313
6.507 -0.804 3.527
2.753 -0.356 1.348
0.668 0.426 5.100
4.422 -0.022 7.279


2.
ZnCd2Co, relaxed, DFT PBE-GGA; calculated formation energy = 25.8 kJ per mole of atoms
1.0
-2.651 1.184 3.498
1.484 -0.544 4.263
1.052 3.634 2.521
Cd Co Zn
2 1 1
Cartesian
-0.086 3.206 7.712
0.000 0.000 0.000
-0.058 2.137 5.141
-0.029 1.069 2.571


3.
Nd3SbP2, relaxed, DFT PBE-GGA; formation energy without anion corrections = -98.66 kJ/mol of atoms
1.0
-3.581 2.829 1.357
-2.781 -5.508 -4.210
-1.342 -5.703 8.349
Sb P Nd
2 4 6
Cartesian
-2.460 -3.328 0.446
-5.244 -5.053 5.050
-4.810 -5.432 -1.369
-0.671 -2.851 4.174
0.000 0.000 0.000
-2.894 -2.950 6.865
-3.496 -2.102 3.510
-4.209 -6.280 1.986
-2.980 0.089 0.304
-4.724 -8.470 5.192
-5.802 -3.302 -0.074
-1.902 -5.079 5.570


4.
Hf2TaAuI, relaxed, DFT PBE-GGA; formation energy without anion corrections = 95.55 kJ/mol of atoms
1.0
-1.869 -4.817 -0.076
4.507 -1.718 -1.965
1.792 -0.771 4.785
Hf Au Ta I
2 1 1 1
Cartesian
0.896 -0.385 2.392
-0.935 -2.408 -0.038
2.254 -0.859 -0.982
0.000 0.000 0.000
2.215 -3.653 1.372


5.
Li4Ti3Cu3Te2O16, relaxed, DFT PBE-GGA; formation energy without anion corrections = -171.04 kJ/mol of atoms
1.0
5.993 0.008 -0.006
3.017 5.179 -0.006
0.252 0.145 10.167
O Te Ti Cu Li
16 2 3 3 4
Cartesian
7.500 2.573 6.790
5.991 5.194 6.790
6.341 1.901 3.959
3.082 1.774 3.848
4.778 2.751 6.981
1.729 0.995 9.201
7.775 4.475 4.196
0.053 0.031 2.082
4.702 1.033 9.338
3.254 3.547 9.338
4.255 2.449 1.479
9.169 5.278 7.198
2.815 0.156 1.360
4.829 4.529 3.959
1.549 2.356 1.360
6.173 3.553 9.052
2.977 1.714 0.142
6.243 3.594 5.017
6.256 1.941 7.935
1.636 0.942 2.792
4.820 4.435 7.935
7.683 4.423 8.130
3.071 3.465 2.890
4.539 0.916 2.890
8.955 5.155 0.200
5.910 3.402 0.874
3.188 1.835 6.067
0.260 0.149 5.201


6.
CaY3Ho3, relaxed, DFT PBE-GGA; calculated formation energy = 4.6 kJ per mole of atoms
1.0
-9.256 2.448 -1.380
-7.005 -4.797 4.584
-4.991 1.328 6.744
Ho Y Ca
6 6 2
Cartesian
-3.467 -0.589 2.705
-17.785 -0.433 7.243
-12.493 -3.067 5.386
-7.094 -0.636 3.010
-8.759 2.045 4.561
-14.158 -0.386 6.937
-8.751 -3.133 5.094
-12.194 -2.826 8.878
-6.822 -0.412 6.485
-12.501 2.111 4.854
-9.058 1.804 1.070
-14.430 -0.610 3.463
-10.765 -0.627 3.190
-10.487 -0.395 6.757


| no. | DOS at the Fermi energy (states/eV per cell) |
| --- | --- |
| 1 | 4.858 |
| 2 | 4.109 |
| 3 | 1.728 |
| 4 | 4.210 |
| 5 | 4.601 |
| 6 | 24.743 |